Crystalline Tb2SbRh2 at its relaxed geometry, computed with PBE. Values from VASP.

Structure (Quantum ESPRESSO input):
```
&SYSTEM
  ibrav = 0, nat = 5, ntyp = 3
/
ATOMIC_SPECIES
Tb 158.93 Tb.upf
Sb 121.76 Sb.upf
Rh 102.91 Rh.upf
CELL_PARAMETERS angstrom
1.674 1.029 3.981
0.597 -4.371 3.354
5.173 -1.834 0.774
ATOMIC_POSITIONS crystal
Tb 0.203 0.297 0.297
Tb 0.797 0.703 0.703
Sb 0.000 0.000 0.000
Rh 0.500 0.729 0.271
Rh 0.500 0.271 0.729
```

Results
Magnetic moment (μB/f.u.): 0.000
VASP energy (eV/atom): -6.5288

***

Crystalline TbSbRh3 at its relaxed geometry, computed with PBE. Values from VASP.

Structure (Quantum ESPRESSO input):
```
&SYSTEM
  ibrav = 0, nat = 10, ntyp = 3
/
ATOMIC_SPECIES
Rh 102.91 Rh.upf
Sb 121.76 Sb.upf
Tb 158.93 Tb.upf
CELL_PARAMETERS angstrom
-0.406 0.554 -5.044
-4.298 -3.960 -0.089
-2.089 6.561 0.889
ATOMIC_POSITIONS crystal
Rh 0.750 0.611 0.681
Rh 0.250 0.389 0.319
Rh 0.500 0.000 0.000
Rh 0.750 0.071 0.681
Rh 0.000 0.000 0.000
Rh 0.250 0.929 0.319
Sb 0.250 0.817 0.634
Sb 0.750 0.183 0.366
Tb 0.750 0.595 0.191
Tb 0.250 0.405 0.809
```

Results
Magnetic moment (μB/f.u.): 0.000
Distance to the lowest polymorph of the same formula (eV/atom): 0.0000
VASP energy (eV/atom): -6.7368

***

Number 1: E_form (uncorrected) -0.91 eV/atom. Number 2: E_form (uncorrected) -0.58 eV/atom.